No. 1
An optimized crystal structure of CoNi2Te4. Source: the Alexandria database, functional GGA-PBE.

a b c (Å): 7.544 7.544 10.648
angles (deg): 90.00 90.00 90.00
Space group P4_122 (No. 91)
Unique sites:
Co1 0.000 0.247 0.000
Ni1 0.247 0.500 0.750
Ni2 0.253 0.253 0.375
Te1 0.016 0.246 0.760
Te2 0.246 0.478 0.991

Properties
formation energy (no corrections) = -211 meV/atom

---

No. 2
An optimized crystal structure of CoNi2Te6. Source: the Alexandria database, functional GGA-PBE.

a b c (Å): 12.428 3.849 8.721
angles (deg): 90.00 97.38 90.00
Space group C2/m (No. 12)
Unique sites:
Co1 0.000 0.000 0.000
Ni1 0.167 0.500 0.332
Te1 0.028 0.500 0.815
Te2 0.139 0.000 0.520
Te3 0.191 0.000 0.140

Properties
formation energy (no corrections) = -211 meV/atom

---

No. 3
An optimized crystal structure of CoNiTe2. Source: the Alexandria database, functional GGA-PBE.

a b c (Å): 4.738 4.708 7.179
angles (deg): 90.00 90.00 90.00
Space group Amm2 (No. 38)
Unique sites:
Co1 0.000 0.000 0.000
Ni1 0.500 0.000 0.198
Te1 0.000 0.000 0.349
Te2 0.500 0.000 0.850

Properties
formation energy (no corrections) = -39 meV/atom

---

No. 4
An optimized crystal structure of CoNiTe2. Source: the Alexandria database, functional GGA-PBE.

a b c (Å): 6.421 3.724 6.507
angles (deg): 90.00 109.33 90.00
Space group C2/m (No. 12)
Unique sites:
Co1 0.000 0.000 0.000
Ni1 0.000 0.500 0.500
Te1 0.247 0.500 0.242

Properties
formation energy (no corrections) = 62 meV/atom

---

No. 5
An optimized crystal structure of Co3NiTe8. Source: the Alexandria database, functional GGA-PBE.

a b c (Å): 12.727 7.499 7.433
angles (deg): 90.00 124.33 90.00
Space group C2/m (No. 12)
Unique sites:
Co1 0.000 0.000 0.000
Co2 0.250 0.250 0.500
Ni1 0.000 0.500 0.000
Te1 0.009 0.246 0.243
Te2 0.243 0.000 0.259
Te3 0.245 0.500 0.265

Properties
formation energy (no corrections) = -187 meV/atom

---

No. 6
An optimized crystal structure of CoNi4Te. Source: the Alexandria database, functional GGA-PBE.

a b c (Å): 6.768 6.768 6.768
angles (deg): 90.00 90.00 90.00
Space group F-43m (No. 216)
Unique sites:
Co1 0.000 0.000 0.000
Ni1 0.126 0.126 0.626
Te1 0.250 0.250 0.250

Properties
formation energy (no corrections) = 259 meV/atom

---

No. 7
An optimized crystal structure of CoNiTe2. Source: the Alexandria database, functional GGA-PBE.

a b c (Å): 7.276 3.583 6.636
angles (deg): 90.00 108.07 90.00
Space group Cm (No. 8)
Unique sites:
Co1 0.000 0.000 0.000
Ni1 0.248 0.500 0.152
Te1 0.255 0.000 0.812
Te2 0.495 0.000 0.326

Properties
formation energy (no corrections) = -48 meV/atom

---

No. 8
An optimized crystal structure of Co2NiTe5. Source: the Alexandria database, functional GGA-PBE.

a b c (Å): 11.356 7.488 5.307
angles (deg): 90.00 112.84 90.00
Space group Cm (No. 8)
Unique sites:
Co1 0.000 0.000 0.000
Co2 0.090 0.500 0.602
Ni1 0.081 0.500 0.114
Te1 0.142 0.232 0.911
Te2 0.305 0.500 0.570
Te3 0.451 0.239 0.243

Properties
formation energy (no corrections) = 36 meV/atom

---

No. 9
An optimized crystal structure of CoNiTe. Source: the Alexandria database, functional GGA-PBE.

a b c (Å): 5.751 5.751 5.751
angles (deg): 90.00 90.00 90.00
Space group F-43m (No. 216)
Unique sites:
Co1 0.000 0.000 0.000
Ni1 0.250 0.250 0.750
Te1 0.250 0.250 0.250

Properties
formation energy (no corrections) = 60 meV/atom

---

No. 10
An optimized crystal structure of CoNi2Te. Source: the Alexandria database, functional GGA-PBE.

a b c (Å): 3.726 3.726 7.625
angles (deg): 90.00 90.00 90.00
Space group I4/mmm (No. 139)
Unique sites:
Co1 0.000 0.000 0.000
Ni1 0.000 0.500 0.250
Te1 0.000 0.000 0.500

Properties
formation energy (no corrections) = 162 meV/atom

---

No. 11
An optimized crystal structure of CoNi2Te. Source: the Alexandria database, functional GGA-PBE.

a b c (Å): 5.952 5.952 5.952
angles (deg): 90.00 90.00 90.00
Space group F-43m (No. 216)
Unique sites:
Co1 0.000 0.000 0.000
Ni1 0.000 0.000 0.500
Ni2 0.250 0.250 0.250
Te1 0.250 0.250 0.750

Properties
formation energy (no corrections) = 156 meV/atom

---

No. 12
An optimized crystal structure of CoNi2Te. Source: the Alexandria database, functional GGA-PBE.

a b c (Å): 3.248 3.248 5.195
angles (deg): 90.00 90.00 90.00
Space group P4mm (No. 99)
Unique sites:
Co1 0.000 0.000 0.000
Ni1 0.000 0.000 0.464
Ni2 0.500 0.500 0.241
Te1 0.500 0.500 0.742

Properties
formation energy (no corrections) = 241 meV/atom

---

No. 13
An optimized crystal structure of CoNi2Te. Source: the Alexandria database, functional GGA-PBE.

a b c (Å): 3.622 3.622 17.489
angles (deg): 90.00 90.00 90.00
Space group I-42d (No. 122)
Unique sites:
Co1 0.000 0.000 0.000
Ni1 0.233 0.250 0.125
Te1 0.000 0.000 0.500

Properties
formation energy (no corrections) = 310 meV/atom

---

No. 14
An optimized crystal structure of Co3NiTe. Source: the Alexandria database, functional GGA-PBE.

a b c (Å): 4.333 4.333 4.333
angles (deg): 90.00 90.00 90.00
Space group Pm-3m (No. 221)
Unique sites:
Co1 0.000 0.000 0.500
Ni1 0.000 0.000 0.000
Te1 0.500 0.500 0.500

Properties
formation energy (no corrections) = 896 meV/atom

---

No. 15
An optimized crystal structure of CoNiTe2. Source: the Alexandria database, functional GGA-PBE.

a b c (Å): 5.260 12.339 5.305
angles (deg): 90.00 90.00 90.00
Space group Ibam (No. 72)
Unique sites:
Co1 0.000 0.000 0.250
Ni1 0.000 0.500 0.250
Te1 0.242 0.136 0.000

Properties
formation energy (no corrections) = -128 meV/atom

---

No. 16
An optimized crystal structure of CoNiTe2. Source: the Alexandria database, functional GGA-PBE.

a b c (Å): 3.778 3.778 6.151
angles (deg): 90.00 90.00 90.00
Space group P-4m2 (No. 115)
Unique sites:
Co1 0.000 0.000 0.000
Ni1 0.500 0.500 0.000
Te1 0.000 0.500 0.730

Properties
formation energy (no corrections) = -121 meV/atom

---

No. 17
An optimized crystal structure of Co2NiTe. Source: the Alexandria database, functional GGA-PBE.

a b c (Å): 5.018 8.833 3.624
angles (deg): 90.00 133.52 90.00
Space group C2/m (No. 12)
Unique sites:
Co1 0.250 0.250 0.000
Ni1 0.000 0.000 0.500
Te1 0.000 0.500 0.500

Properties
formation energy (no corrections) = 405 meV/atom

---

No. 18
An optimized crystal structure of CoNiTe3. Source: the Alexandria database, functional GGA-PBE.

a b c (Å): 12.384 11.549 6.397
angles (deg): 90.00 110.61 90.00
Space group C2/c (No. 15)
Unique sites:
Co1 0.231 0.095 0.440
Ni1 0.000 0.100 0.250
Ni2 0.000 0.398 0.750
Te1 0.120 0.253 0.575
Te2 0.128 0.084 0.012
Te3 0.135 0.450 0.156

Properties
formation energy (no corrections) = -77 meV/atom

---

No. 19
An optimized crystal structure of Co2NiTe. Source: the Alexandria database, functional GGA-PBE.

a b c (Å): 3.655 3.655 17.755
angles (deg): 90.00 90.00 90.00
Space group I-42d (No. 122)
Unique sites:
Co1 0.206 0.250 0.125
Ni1 0.000 0.000 0.000
Te1 0.000 0.000 0.500

Properties
formation energy (no corrections) = 390 meV/atom

---

No. 20
An optimized crystal structure of CoNiTe2. Source: the Alexandria database, functional GGA-PBE.

a b c (Å): 3.378 3.399 6.449
angles (deg): 90.00 91.47 90.00
Space group P2/m (No. 10)
Unique sites:
Co1 0.000 0.000 0.000
Ni1 0.000 0.000 0.500
Te1 0.342 0.500 0.755

Properties
formation energy (no corrections) = 311 meV/atom

---

No. 21
An optimized crystal structure of CoNiTe. Source: the Alexandria database, functional GGA-PBE.

a b c (Å): 3.401 3.401 7.465
angles (deg): 90.00 90.00 90.00
Space group I4mm (No. 107)
Unique sites:
Co1 0.000 0.000 0.000
Ni1 0.000 0.000 0.340
Te1 0.000 0.000 0.667

Properties
formation energy (no corrections) = 188 meV/atom

---

No. 22
An optimized crystal structure of CoNiTe2. Source: the Alexandria database, functional GGA-PBE.

a b c (Å): 3.758 3.758 10.536
angles (deg): 90.00 90.00 90.00
Space group I-4m2 (No. 119)
Unique sites:
Co1 0.000 0.000 0.000
Ni1 0.000 0.500 0.750
Te1 0.000 0.000 0.500
Te2 0.000 0.500 0.250

Properties
formation energy (no corrections) = 452 meV/atom

---

No. 23
An optimized crystal structure of CoNiTe2. Source: the Alexandria database, functional GGA-PBE.

a b c (Å): 3.262 3.824 13.368
angles (deg): 90.00 90.00 90.00
Space group Imm2 (No. 44)
Unique sites:
Co1 0.000 0.000 0.000
Ni1 0.000 0.500 0.890
Te1 0.000 0.000 0.571
Te2 0.000 0.500 0.336

Properties
formation energy (no corrections) = 106 meV/atom

---

No. 24
An optimized crystal structure of CoNiTe2W. Source: the Alexandria database, functional GGA-PBE.

a b c (Å): 5.207 5.207 4.652
angles (deg): 90.00 90.00 90.00
Space group P4/mmm (No. 123)
Unique sites:
Co1 0.000 0.000 0.000
Ni1 0.500 0.500 0.000
Te1 0.000 0.500 0.500
W1 0.500 0.500 0.500

Properties
formation energy (no corrections) = 1325 meV/atom

---

No. 25
An optimized crystal structure of Th4CoNi2. Source: the Alexandria database, functional GGA-PBE.

a b c (Å): 7.311 7.488 7.497
angles (deg): 107.48 109.03 108.98
Space group P1 (No. 1)
Unique sites:
Th1 0.000 0.000 0.000
Th2 0.005 0.497 0.991
Th3 0.118 0.880 0.479
Th4 0.419 0.803 0.903
Th5 0.500 0.401 0.598
Th6 0.505 0.393 0.095
Th7 0.618 0.880 0.478
Th8 0.919 0.305 0.401
Co1 0.260 0.524 0.362
Co2 0.760 0.763 0.123
Ni1 0.132 0.256 0.739
Ni2 0.392 0.034 0.252
Ni3 0.632 0.139 0.853
Ni4 0.891 0.654 0.632

Properties
total energy = -7.21 eV per atom